{
  "formula": "Ti3CO",
  "functional": "PBE",
  "state": "relaxed",
  "magmom_total_mub_per_cell": 0.0,
  "e_tot_ev_per_cell": -87.2,
  "e_above_lowest_polymorph_ev_per_atom": 0.274,
  "e_form_raw_ev_per_atom": -1.149,
  "lattice_angstrom": [[2.988, 0.000, 0.000], [0.000, 5.731, -0.045], [-1.494, -1.407, 7.395]],
  "species": ["C", "C", "Ti", "Ti", "Ti", "Ti", "Ti", "Ti", "O", "O"],
  "frac_coords": [[0.577, 0.446, 0.155], [0.423, 0.554, 0.845], [0.828, 0.434, 0.655], [0.986, 0.263, 0.972], [0.638, 0.122, 0.277], [0.014, 0.737, 0.028], [0.362, 0.878, 0.723], [0.172, 0.566, 0.345], [0.846, 0.099, 0.691], [0.154, 0.901, 0.309]]
}

=====

{
  "formula": "Cs2Tl2TeSe2",
  "functional": "PBE",
  "state": "relaxed",
  "magmom_total_mub_per_cell": 0.0,
  "e_tot_ev_per_cell": -21.3,
  "e_form_raw_ev_per_atom": -0.681,
  "lattice_angstrom": [[-3.675, -1.588, -2.236], [-5.894, -2.244, 6.578], [-5.746, 5.824, 0.606]],
  "species": ["Tl", "Tl", "Cs", "Cs", "Te", "Se", "Se"],
  "frac_coords": [[0.803, 0.309, 0.086], [0.197, 0.691, 0.914], [0.545, 0.262, 0.648], [0.455, 0.738, 0.352], [0.000, 0.000, 0.000], [0.837, 0.574, 0.752], [0.163, 0.426, 0.248]]
}

=====

{
  "formula": "PS3F",
  "functional": "PBE",
  "state": "relaxed",
  "magmom_total_mub_per_cell": 0.0,
  "e_tot_ev_per_cell": -16.8,
  "e_above_lowest_polymorph_ev_per_atom": 1.230,
  "e_form_raw_ev_per_atom": 0.566,
  "lattice_angstrom": [[-2.582, -1.368, 3.292], [-0.346, -3.949, -1.912], [3.548, -1.380, 2.209]],
  "species": ["S", "S", "S", "P", "F"],
  "frac_coords": [[0.500, 0.000, 0.000], [0.000, 0.000, 0.500], [0.000, 0.500, 0.000], [0.000, 0.000, 0.000], [0.500, 0.500, 0.500]]
}

=====

{
  "formula": "In6AgPd",
  "functional": "PBE",
  "state": "relaxed",
  "magmom_total_mub_per_cell": 0.0,
  "e_tot_ev_per_cell": -25.2,
  "lattice_angstrom": [[2.279, 6.860, -0.159], [-2.279, 6.860, -0.159], [0.000, 4.692, 6.320]],
  "species": ["In", "In", "In", "In", "In", "In", "Ag", "Pd"],
  "frac_coords": [[0.910, 0.910, 0.432], [0.748, 0.748, 0.275], [0.388, 0.388, 0.935], [0.612, 0.612, 0.065], [0.090, 0.090, 0.568], [0.252, 0.252, 0.725], [0.000, 0.000, 0.000], [0.500, 0.500, 0.500]]
}

=====

{
  "formula": "Rb4Pm3InO8",
  "functional": "PBE",
  "state": "relaxed",
  "magmom_total_mub_per_cell": 0.0,
  "e_tot_ev_per_cell": -97.0,
  "e_form_raw_ev_per_atom": -2.280,
  "lattice_angstrom": [[7.158, 0.000, 0.000], [0.000, 7.766, 0.414], [-3.579, -3.569, 5.069]],
  "species": ["O", "O", "O", "O", "O", "O", "O", "O", "Rb", "Rb", "Rb", "Rb", "Pm", "Pm", "Pm", "In"],
  "frac_coords": [[0.777, 0.319, 0.555], [0.777, 0.319, 0.042], [0.726, 0.679, 0.453], [0.223, 0.681, 0.958], [0.265, 0.319, 0.042], [0.274, 0.321, 0.547], [0.223, 0.681, 0.445], [0.735, 0.681, 0.958], [0.500, 0.000, 0.500], [0.000, 0.000, 0.500], [0.500, 0.000, 0.000], [0.000, 0.000, 0.000], [0.500, 0.500, 0.000], [0.500, 0.500, 0.500], [0.000, 0.500, 0.500], [0.000, 0.500, 0.000]]
}

=====

{
  "formula": "Ba2Ge2Au",
  "functional": "PBE",
  "state": "relaxed",
  "magmom_total_mub_per_cell": 0.0,
  "e_tot_ev_per_cell": -18.1,
  "e_above_lowest_polymorph_ev_per_atom": 0.174,
  "lattice_angstrom": [[3.941, 0.000, 0.000], [0.000, 3.941, 0.000], [1.970, 1.970, 9.881]],
  "species": ["Au", "Ge", "Ge", "Ba", "Ba"],
  "frac_coords": [[0.000, 0.000, 0.000], [0.250, 0.750, 0.500], [0.750, 0.250, 0.500], [0.395, 0.395, 0.211], [0.605, 0.605, 0.789]]
}

=====

{
  "formula": "Ac3CuRh8",
  "functional": "PBE",
  "state": "relaxed",
  "magmom_total_mub_per_cell": 0.0,
  "e_tot_ev_per_cell": -79.6,
  "lattice_angstrom": [[5.268, 0.000, 1.562], [2.402, 4.688, 1.562], [0.052, 0.032, 9.488]],
  "species": ["Rh", "Rh", "Rh", "Rh", "Rh", "Rh", "Rh", "Rh", "Ac", "Ac", "Ac", "Cu"],
  "frac_coords": [[0.059, 0.059, 0.323], [0.310, 0.310, 0.071], [0.562, 0.060, 0.815], [0.060, 0.562, 0.815], [0.810, 0.810, 0.570], [0.059, 0.560, 0.323], [0.562, 0.562, 0.815], [0.560, 0.059, 0.323], [0.622, 0.622, 0.134], [0.013, 0.013, 0.962], [0.491, 0.491, 0.528], [0.144, 0.144, 0.569]]
}

=====

{
  "formula": "ZrAlFeTc",
  "functional": "PBE",
  "state": "relaxed",
  "magmom_total_mub_per_cell": 1.7,
  "e_tot_ev_per_cell": -32.2,
  "lattice_angstrom": [[4.422, 0.000, 0.000], [2.211, 3.830, 0.000], [2.211, 1.277, 3.611]],
  "species": ["Fe", "Zr", "Tc", "Al"],
  "frac_coords": [[0.750, 0.750, 0.750], [0.500, 0.500, 0.500], [0.250, 0.250, 0.250], [0.000, 0.000, 0.000]]
}

=====

Please write out number 1 again, unchanged.
{
  "formula": "Ti3CO",
  "functional": "PBE",
  "state": "relaxed",
  "magmom_total_mub_per_cell": 0.0,
  "e_tot_ev_per_cell": -87.2,
  "e_above_lowest_polymorph_ev_per_atom": 0.274,
  "e_form_raw_ev_per_atom": -1.149,
  "lattice_angstrom": [[2.988, 0.000, 0.000], [0.000, 5.731, -0.045], [-1.494, -1.407, 7.395]],
  "species": ["C", "C", "Ti", "Ti", "Ti", "Ti", "Ti", "Ti", "O", "O"],
  "frac_coords": [[0.577, 0.446, 0.155], [0.423, 0.554, 0.845], [0.828, 0.434, 0.655], [0.986, 0.263, 0.972], [0.638, 0.122, 0.277], [0.014, 0.737, 0.028], [0.362, 0.878, 0.723], [0.172, 0.566, 0.345], [0.846, 0.099, 0.691], [0.154, 0.901, 0.309]]
}